# 1
SbOsRh2 | PBE-GGA | relaxed

Cell lengths 8.816, 8.816, 8.816 Å; angles 19.10, 19.10, 19.10 degrees
Fractional coordinates of all 4 atoms:
1 Os 0.500 0.500 0.500
2 Rh 0.249 0.249 0.249
3 Rh 0.751 0.751 0.751
4 Sb 0.000 0.000 0.000

symmetry: R-3m, No. 166
E_tot: -0.266 hartree per atom
total moment: 0.000 μB/f.u.

# 2
Sb2OsRh | PBE-GGA | relaxed

Cell lengths 4.475, 4.475, 5.571 Å; angles 78.18, 78.18, 42.58 degrees
Fractional coordinates of all 4 atoms:
1 Sb 0.247 0.247 0.755
2 Sb 0.753 0.753 0.245
3 Os 0.500 0.500 0.000
4 Rh 0.000 0.000 0.500

symmetry: C2/m, No. 12
E_tot: -0.238 hartree per atom
total moment: 0.000 μB/f.u.

# 3
SbOs2Rh | PBE-GGA | relaxed

Cell lengths 3.973, 2.896, 5.849 Å; angles 73.67, 90.00, 90.00 degrees
Fractional coordinates of all 4 atoms:
1 Os 0.000 0.192 0.038
2 Os 0.500 0.579 0.231
3 Rh 0.000 0.926 0.514
4 Sb 0.500 0.304 0.717

symmetry: Pm, No. 6
E_tot: -0.300 hartree per atom
total moment: 0.000 μB/f.u.

# 4
SbOs2Rh | PBE-GGA | relaxed

Cell lengths 4.778, 4.778, 4.778 Å; angles 130.01, 130.01, 73.40 degrees
Fractional coordinates of all 4 atoms:
1 Rh 0.500 0.500 0.000
2 Sb 0.000 0.000 0.000
3 Os 0.750 0.250 0.500
4 Os 0.250 0.750 0.500

symmetry: I4/mmm, No. 139
E_tot: -0.297 hartree per atom
total moment: 0.000 μB/f.u.

# 5
Sb2OsRh | PBE-GGA | relaxed

Cell lengths 8.356, 8.356, 8.356 Å; angles 22.27, 22.27, 22.27 degrees
Fractional coordinates of all 4 atoms:
1 Sb 0.250 0.250 0.250
2 Sb 0.750 0.750 0.750
3 Rh 0.000 0.000 0.000
4 Os 0.500 0.500 0.500

symmetry: R-3m, No. 166
E_tot: -0.240 hartree per atom
total moment: 0.000 μB/f.u.

# 6
SbOsRh2 | PBE-GGA | relaxed

Cell lengths 3.952, 4.001, 3.953 Å; angles 90.00, 90.00, 90.00 degrees
Fractional coordinates of all 4 atoms:
1 Os 0.000 0.500 0.500
2 Rh 0.000 0.000 0.000
3 Rh 0.500 0.000 0.500
4 Sb 0.500 0.500 0.000

symmetry: P4/mmm, No. 123
E_tot: -0.272 hartree per atom
total moment: 0.000 μB/f.u.

# 7
SbOsRh2 | PBE-GGA | relaxed

Cell lengths 4.814, 4.814, 2.890 Å; angles 90.00, 90.00, 110.24 degrees
Fractional coordinates of all 4 atoms:
1 Sb 0.000 0.000 0.500
2 Rh 0.500 0.000 0.000
3 Rh 0.000 0.500 0.000
4 Os 0.500 0.500 0.500

symmetry: Cmmm, No. 65
E_tot: -0.271 hartree per atom
total moment: 0.000 μB/f.u.

# 8
SbOsRh2 | PBE-GGA | relaxed

Cell lengths 8.679, 8.679, 8.679 Å; angles 19.67, 19.67, 19.67 degrees
Fractional coordinates of all 4 atoms:
1 Rh 0.752 0.752 0.752
2 Rh 0.998 0.998 0.998
3 Sb 0.499 0.499 0.499
4 Os 0.251 0.251 0.251

symmetry: R3m, No. 160
E_tot: -0.261 hartree per atom
total moment: 0.000 μB/f.u.

# 9
SbOs2Rh | PBE-GGA | relaxed

Cell lengths 4.731, 4.731, 2.923 Å; angles 90.00, 90.00, 105.97 degrees
Fractional coordinates of all 4 atoms:
1 Rh 0.000 0.000 0.500
2 Sb 0.500 0.500 0.500
3 Os 0.500 0.000 0.000
4 Os 0.000 0.500 0.000

symmetry: Cmmm, No. 65
E_tot: -0.294 hartree per atom
total moment: 0.000 μB/f.u.

# 10
SbOs2Rh | PBE-GGA | relaxed

Cell lengths 4.501, 4.501, 4.501 Å; angles 60.00, 60.00, 60.00 degrees
Each line ends with the local moment (μB).
Fractional coordinates of all 4 atoms:
1 Sb 0.250 0.250 0.250  0.01
2 Os 0.750 0.750 0.750  0.43
3 Os 0.000 0.000 0.000  0.38
4 Rh 0.500 0.500 0.500  0.41

symmetry: F-43m, No. 216
E_tot: -0.288 hartree per atom
total moment: 1.267 μB/f.u.

# 11
ScSb2OsRh | PBE-GGA | relaxed

Cell lengths 5.046, 4.770, 5.046 Å; angles 90.00, 90.00, 90.00 degrees
Fractional coordinates of all 5 atoms:
1 Sc 0.500 0.500 0.500
2 Rh 0.000 0.000 0.000
3 Sb 0.000 0.000 0.500
4 Sb 0.500 0.000 0.000
5 Os 0.000 0.500 0.000

symmetry: P4/mmm, No. 123
E_tot: -0.216 hartree per atom
total moment: 0.000 μB/f.u.

# 12
SnSbOsRh2 | PBE-GGA | relaxed

Cell lengths 4.791, 5.432, 4.791 Å; angles 90.00, 90.00, 90.00 degrees
Each line ends with the local moment (μB).
Fractional coordinates of all 5 atoms:
1 Os 0.500 0.500 0.500  2.54
2 Rh 0.000 0.000 0.500  0.49
3 Rh 0.500 0.000 0.000  0.43
4 Sn 0.000 0.000 0.000  0.00
5 Sb 0.000 0.500 0.000  0.00

symmetry: P4/mmm, No. 123
E_tot: -0.180 hartree per atom
total moment: 3.718 μB/f.u.

# 13
Sb2TeOsRh | PBE-GGA | relaxed

Cell lengths 5.004, 5.004, 5.341 Å; angles 90.00, 90.00, 90.00 degrees
Fractional coordinates of all 5 atoms:
1 Sb 0.500 0.000 0.000
2 Sb 0.000 0.500 0.000
3 Rh 0.500 0.500 0.500
4 Te 0.000 0.000 0.500
5 Os 0.000 0.000 0.000

symmetry: P4/mmm, No. 123
E_tot: -0.182 hartree per atom
total moment: 0.000 μB/f.u.

# 14
ScOsRh2 | PBE-GGA | relaxed

Cell lengths 4.443, 4.443, 4.443 Å; angles 60.00, 60.00, 60.00 degrees
Fractional coordinates of all 4 atoms:
1 Sc 0.750 0.750 0.750
2 Rh 0.250 0.250 0.250
3 Rh 0.000 0.000 0.000
4 Os 0.500 0.500 0.500

DFT formation energy: -31 kJ/mol of formula units
symmetry: F-43m, No. 216
E_tot: -0.299 hartree per atom
total moment: 0.000 μB/f.u.

# 15
ScOs2Rh | PBE-GGA | relaxed

Cell lengths 3.215, 3.215, 6.070 Å; angles 90.00, 90.00, 90.00 degrees
Fractional coordinates of all 4 atoms:
1 Os 0.000 0.000 0.483
2 Os 0.000 0.000 0.017
3 Rh 0.500 0.500 0.250
4 Sc 0.500 0.500 0.750

DFT formation energy: 74 kJ/mol of formula units
symmetry: P4/mmm, No. 123
E_tot: -0.325 hartree per atom
total moment: 0.001 μB/f.u.

# 16
ScOs2Rh | PBE-GGA | relaxed

Cell lengths 4.820, 4.820, 4.832 Å; angles 79.68, 79.68, 34.30 degrees
Fractional coordinates of all 4 atoms:
1 Sc 0.248 0.248 0.277
2 Os 0.749 0.749 0.792
3 Os 0.010 0.010 0.950
4 Rh 0.493 0.493 0.482

DFT formation energy: -54 kJ/mol of formula units
symmetry: Cm, No. 8
E_tot: -0.337 hartree per atom
total moment: 0.000 μB/f.u.

# 17
ScOs2Rh | PBE-GGA | relaxed

Cell lengths 4.747, 2.823, 4.698 Å; angles 83.86, 90.00, 90.00 degrees
Fractional coordinates of all 4 atoms:
1 Sc 0.500 0.750 0.750
2 Rh 0.500 0.250 0.250
3 Os 0.000 0.453 0.492
4 Os 0.000 0.047 0.008

DFT formation energy: 3 kJ/mol of formula units
symmetry: P2/m, No. 10
E_tot: -0.332 hartree per atom
total moment: 0.000 μB/f.u.

# 18
ScOs2Rh | PBE-GGA | relaxed

Cell lengths 4.446, 4.446, 4.446 Å; angles 60.00, 60.00, 60.00 degrees
Each line ends with the local moment (μB).
Fractional coordinates of all 4 atoms:
1 Sc 0.750 0.750 0.750  0.02
2 Os 0.000 0.000 0.000  0.08
3 Os 0.250 0.250 0.250  0.30
4 Rh 0.500 0.500 0.500  0.30

DFT formation energy: 22 kJ/mol of formula units
symmetry: F-43m, No. 216
E_tot: -0.330 hartree per atom
total moment: 0.730 μB/f.u.

# 19
ScOsRh2 | PBE-GGA | relaxed

Cell lengths 4.811, 4.811, 4.825 Å; angles 79.53, 79.53, 34.16 degrees
Fractional coordinates of all 4 atoms:
1 Os 0.255 0.255 0.207
2 Rh 0.997 0.997 0.032
3 Rh 0.747 0.747 0.742
4 Sc 0.500 0.500 0.519

DFT formation energy: -124 kJ/mol of formula units
symmetry: Cm, No. 8
E_tot: -0.308 hartree per atom
total moment: 0.000 μB/f.u.

# 20
Sc4OsRh | PBE-GGA | relaxed

Cell lengths 3.205, 3.205, 11.853 Å; angles 90.00, 90.00, 90.00 degrees
Fractional coordinates of all 6 atoms:
1 Sc 0.000 0.000 0.636
2 Sc 0.000 0.000 0.364
3 Sc 0.500 0.500 0.869
4 Sc 0.500 0.500 0.131
5 Os 0.000 0.000 0.000
6 Rh 0.500 0.500 0.500

DFT formation energy: -295 kJ/mol of formula units
symmetry: P4/mmm, No. 123
E_tot: -0.288 hartree per atom
total moment: 0.000 μB/f.u.

# 21
ScOsRh2 | PBE-GGA | relaxed

Cell lengths 3.246, 3.246, 5.976 Å; angles 90.00, 90.00, 90.00 degrees
Fractional coordinates of all 4 atoms:
1 Os 0.500 0.500 0.779
2 Rh 0.000 0.000 0.984
3 Rh 0.500 0.500 0.248
4 Sc 0.000 0.000 0.489

DFT formation energy: -44 kJ/mol of formula units
symmetry: P4mm, No. 99
E_tot: -0.301 hartree per atom
total moment: 0.000 μB/f.u.

# 22
ScOs2Rh | PBE-GGA | relaxed

Cell lengths 4.853, 4.853, 2.786 Å; angles 90.00, 90.00, 111.38 degrees
Fractional coordinates of all 4 atoms:
1 Os 0.500 0.500 0.000
2 Os 0.000 0.000 0.000
3 Sc 0.000 0.500 0.500
4 Rh 0.500 0.000 0.500

DFT formation energy: -21 kJ/mol of formula units
symmetry: Cmmm, No. 65
E_tot: -0.334 hartree per atom
total moment: 0.000 μB/f.u.

# 23
Sc2OsRh2 | PBE-GGA | relaxed

Cell lengths 7.466, 7.466, 2.966 Å; angles 90.00, 90.00, 90.00 degrees
Fractional coordinates of all 10 atoms:
1 Sc 0.348 0.848 0.000
2 Sc 0.152 0.348 0.000
3 Sc 0.652 0.152 0.000
4 Sc 0.848 0.652 0.000
5 Os 0.500 0.500 0.000
6 Os 0.000 0.000 0.000
7 Rh 0.348 0.152 0.500
8 Rh 0.652 0.848 0.500
9 Rh 0.152 0.652 0.500
10 Rh 0.848 0.348 0.500

DFT formation energy: -110 kJ/mol of formula units
symmetry: P4/mbm, No. 127
E_tot: -0.292 hartree per atom
total moment: 0.000 μB/f.u.

# 24
Sc4OsRh3 | PBE-GGA | relaxed

Cell lengths 3.226, 3.226, 12.891 Å; angles 90.00, 90.00, 90.00 degrees
Fractional coordinates of all 8 atoms:
1 Sc 0.000 0.000 0.626
2 Sc 0.000 0.000 0.374
3 Sc 0.000 0.000 0.879
4 Sc 0.000 0.000 0.121
5 Rh 0.500 0.500 0.747
6 Rh 0.500 0.500 0.500
7 Rh 0.500 0.500 0.253
8 Os 0.500 0.500 0.000

DFT formation energy: -681 kJ/mol of formula units
symmetry: P4/mmm, No. 123
E_tot: -0.302 hartree per atom
total moment: 0.000 μB/f.u.

# 25
ScOsRh2 | PBE-GGA | relaxed

Cell lengths 3.905, 3.905, 9.298 Å; angles 77.88, 77.88, 90.00 degrees
Fractional coordinates of all 8 atoms:
1 Rh 0.643 0.125 0.250
2 Rh 0.107 0.625 0.250
3 Rh 0.375 0.357 0.750
4 Rh 0.875 0.893 0.750
5 Os 0.000 0.000 0.000
6 Os 0.750 0.250 0.500
7 Sc 0.500 0.500 0.000
8 Sc 0.250 0.750 0.500

DFT formation energy: 58 kJ/mol of formula units
symmetry: I-42d, No. 122
E_tot: -0.291 hartree per atom
total moment: 0.000 μB/f.u.

# 26
ScOsRh4 | PBE-GGA | relaxed

Cell lengths 5.109, 5.109, 5.109 Å; angles 60.00, 60.00, 60.00 degrees
Each line ends with the local moment (μB).
Fractional coordinates of all 6 atoms:
1 Rh 0.124 0.625 0.625  0.19
2 Rh 0.625 0.124 0.625  0.19
3 Rh 0.625 0.625 0.124  0.19
4 Rh 0.625 0.625 0.625  0.19
5 Sc 0.250 0.250 0.250  0.02
6 Os 0.000 0.000 0.000  0.77

DFT formation energy: 28 kJ/mol of formula units
symmetry: F-43m, No. 216
E_tot: -0.286 hartree per atom
total moment: 1.609 μB/f.u.

# 27
Sc2OsRh | PBE-GGA | relaxed

Cell lengths 8.483, 8.483, 8.483 Å; angles 21.01, 21.01, 21.01 degrees
Fractional coordinates of all 4 atoms:
1 Os 0.250 0.250 0.250
2 Rh 0.750 0.750 0.750
3 Sc 0.000 0.000 0.000
4 Sc 0.500 0.500 0.500

DFT formation energy: -123 kJ/mol of formula units
symmetry: R-3m, No. 166
E_tot: -0.299 hartree per atom
total moment: 0.000 μB/f.u.

# 28
Sc5Os4Rh | PBE-GGA | relaxed

Cell lengths 3.218, 3.218, 16.146 Å; angles 90.00, 90.00, 90.00 degrees
Fractional coordinates of all 10 atoms:
1 Rh 0.000 0.000 0.000
2 Sc 0.500 0.500 0.500
3 Sc 0.500 0.500 0.699
4 Sc 0.500 0.500 0.897
5 Sc 0.500 0.500 0.301
6 Sc 0.500 0.500 0.103
7 Os 0.000 0.000 0.200
8 Os 0.000 0.000 0.401
9 Os 0.000 0.000 0.800
10 Os 0.000 0.000 0.599

DFT formation energy: -463 kJ/mol of formula units
symmetry: P4/mmm, No. 123
E_tot: -0.326 hartree per atom
total moment: 0.000 μB/f.u.

# 29
Sc2OsRh | PBE-GGA | relaxed

Cell lengths 3.520, 3.520, 5.755 Å; angles 90.00, 90.00, 90.00 degrees
Fractional coordinates of all 4 atoms:
1 Rh 0.500 0.500 0.783
2 Sc 0.000 0.000 0.956
3 Sc 0.500 0.500 0.294
4 Os 0.000 0.000 0.466

DFT formation energy: -73 kJ/mol of formula units
symmetry: P4mm, No. 99
E_tot: -0.294 hartree per atom
total moment: 0.000 μB/f.u.

Number 1: DOS(E_F) 0.94 states/eV/atom. Number 2: DOS(E_F) 0.64 states/eV/atom. Number 3: DOS(E_F) 0.73 states/eV/atom. Number 4: DOS(E_F) 0.59 states/eV/atom. Number 5: DOS(E_F) 0.50 states/eV/atom. Number 6: DOS(E_F) 1.19 states/eV/atom. Number 7: DOS(E_F) 1.07 states/eV/atom. Number 8: DOS(E_F) 1.37 states/eV/atom. Number 9: DOS(E_F) 0.99 states/eV/atom. Number 10: DOS(E_F) 1.75 states/eV/atom. Number 11: DOS(E_F) 1.17 states/eV/atom. Number 12: DOS(E_F) 1.39 states/eV/atom. Number 13: DOS(E_F) 1.13 states/eV/atom. Number 14: DOS(E_F) 1.40 states/eV/atom. Number 15: DOS(E_F) 1.74 states/eV/atom. Number 16: DOS(E_F) 0.99 states/eV/atom. Number 17: DOS(E_F) 1.38 states/eV/atom. Number 18: DOS(E_F) 2.00 states/eV/atom. Number 19: DOS(E_F) 0.88 states/eV/atom. Number 20: DOS(E_F) 0.60 states/eV/atom. Number 21: DOS(E_F) 1.45 states/eV/atom. Number 22: DOS(E_F) 0.95 states/eV/atom. Number 23: DOS(E_F) 0.70 states/eV/atom. Number 24: DOS(E_F) 0.27 states/eV/atom. Number 25: DOS(E_F) 0.99 states/eV/atom. Number 26: DOS(E_F) 1.74 states/eV/atom. Number 27: DOS(E_F) 1.00 states/eV/atom. Number 28: DOS(E_F) 0.89 states/eV/atom. Number 29: DOS(E_F) 1.35 states/eV/atom.